Entry 1:
# SiTe2Rh | Alexandria via LeMat-Bulk | PBE-GGA | relaxed
data_SiTe2Rh
_chemical_formula_sum 'Si2 Te4 Rh2'
_space_group_name_H-M_alt 'P 1'
_space_group_IT_number 1
_space_group_name_Hall 'P 1'
_cell_length_a 7.412
_cell_length_b 7.412
_cell_length_c 7.412
_cell_angle_alpha 131.85
_cell_angle_beta 131.85
_cell_angle_gamma 70.47
loop_
_atom_site_label
_atom_site_type_symbol
_atom_site_fract_x
_atom_site_fract_y
_atom_site_fract_z
_atom_site_occupancy
Si1 Si 0.000 0.000 0.000 1
Si2 Si 0.750 0.250 0.500 1
Te1 Te 0.142 0.625 0.017 1
Te2 Te 0.375 0.392 0.517 1
Te3 Te 0.608 0.125 0.983 1
Te4 Te 0.875 0.858 0.483 1
Rh1 Rh 0.250 0.750 0.500 1
Rh2 Rh 0.500 0.500 0.000 1
# - ΔE_f (raw) (eV/atom) = 0.1070
# - symmetry = No. 122



Entry 2:
# Pr2Sm3ThTe6 | Alexandria via LeMat-Bulk | PBE-GGA | relaxed
data_Pr2Sm3ThTe6
_chemical_formula_sum 'Pr2 Sm3 Th1 Te6'
_space_group_name_H-M_alt 'P 1'
_space_group_IT_number 1
_space_group_name_Hall 'P 1'
_cell_length_a 10.000
_cell_length_b 10.000
_cell_length_c 8.999
_cell_angle_alpha 102.92
_cell_angle_beta 102.92
_cell_angle_gamma 25.76
loop_
_atom_site_label
_atom_site_type_symbol
_atom_site_fract_x
_atom_site_fract_y
_atom_site_fract_z
_atom_site_occupancy
Pr1 Pr 0.165 0.165 0.331 1
Pr2 Pr 0.835 0.835 0.669 1
Sm1 Sm 0.168 0.168 0.836 1
Sm2 Sm 0.500 0.500 0.500 1
Sm3 Sm 0.832 0.832 0.164 1
Th1 Th 0.500 0.500 0.000 1
Te1 Te 0.003 0.003 0.748 1
Te2 Te 0.333 0.333 0.921 1
Te3 Te 0.334 0.334 0.412 1
Te4 Te 0.666 0.666 0.588 1
Te5 Te 0.667 0.667 0.079 1
Te6 Te 0.997 0.997 0.252 1
# - ΔE_f (raw) (eV/atom) = -1.3325
# - symmetry = No. 12



Entry 3:
# TlSnPb2 | Alexandria via LeMat-Bulk | PBE-GGA | relaxed
data_TlSnPb2
_chemical_formula_sum 'Tl1 Sn1 Pb2'
_space_group_name_H-M_alt 'P 1'
_space_group_IT_number 1
_space_group_name_Hall 'P 1'
_cell_length_a 7.558
_cell_length_b 7.558
_cell_length_c 7.558
_cell_angle_alpha 152.26
_cell_angle_beta 138.85
_cell_angle_gamma 50.35
loop_
_atom_site_label
_atom_site_type_symbol
_atom_site_fract_x
_atom_site_fract_y
_atom_site_fract_z
_atom_site_occupancy
Tl1 Tl 0.000 0.000 0.000 1
Sn1 Sn 0.500 0.500 0.000 1
Pb1 Pb 0.276 0.276 0.000 1
Pb2 Pb 0.724 0.724 0.000 1
# - energy above the lowest structure with this stoichiometry (eV per atom) = 0.119
# - symmetry = No. 71



Entry 4:
# Na3InI6 | Alexandria via LeMat-Bulk | PBE-GGA | relaxed
data_Na3InI6
_chemical_formula_sum 'Na6 In2 I12'
_space_group_name_H-M_alt 'P 1'
_space_group_IT_number 1
_space_group_name_Hall 'P 1'
_cell_length_a 10.792
_cell_length_b 10.792
_cell_length_c 8.258
_cell_angle_alpha 90.00
_cell_angle_beta 90.00
_cell_angle_gamma 106.06
loop_
_atom_site_label
_atom_site_type_symbol
_atom_site_fract_x
_atom_site_fract_y
_atom_site_fract_z
_atom_site_occupancy
Na1 Na 0.051 0.949 0.500 1
Na2 Na 0.159 0.366 0.414 1
Na3 Na 0.366 0.159 0.914 1
Na4 Na 0.634 0.841 0.414 1
Na5 Na 0.841 0.634 0.914 1
Na6 Na 0.949 0.051 0.000 1
In1 In 0.300 0.700 0.726 1
In2 In 0.700 0.300 0.226 1
I1 I 0.047 0.609 0.616 1
I2 I 0.135 0.202 0.724 1
I3 I 0.202 0.135 0.224 1
I4 I 0.319 0.681 0.052 1
I5 I 0.391 0.953 0.616 1
I6 I 0.434 0.566 0.537 1
I7 I 0.566 0.434 0.037 1
I8 I 0.609 0.047 0.116 1
I9 I 0.681 0.319 0.552 1
I10 I 0.798 0.865 0.724 1
I11 I 0.865 0.798 0.224 1
I12 I 0.953 0.391 0.116 1
# - energy above the lowest structure with this stoichiometry (eV per atom) = 0.000
# - ΔE_f (raw) (eV/atom) = -0.9155
# - symmetry = No. 36



Entry 5:
# NpNi12 | Alexandria via LeMat-Bulk | PBE-GGA | relaxed
data_NpNi12
_chemical_formula_sum 'Np1 Ni12'
_space_group_name_H-M_alt 'P 1'
_space_group_IT_number 1
_space_group_name_Hall 'P 1'
_cell_length_a 6.237
_cell_length_b 6.237
_cell_length_c 6.237
_cell_angle_alpha 98.15
_cell_angle_beta 98.15
_cell_angle_gamma 135.77
loop_
_atom_site_label
_atom_site_type_symbol
_atom_site_fract_x
_atom_site_fract_y
_atom_site_fract_z
_atom_site_occupancy
Np1 Np 0.000 0.000 0.000 1
Ni1 Ni 0.000 0.000 0.500 1
Ni2 Ni 0.000 0.353 0.353 1
Ni3 Ni 0.000 0.500 0.000 1
Ni4 Ni 0.000 0.647 0.647 1
Ni5 Ni 0.282 0.500 0.782 1
Ni6 Ni 0.353 0.000 0.353 1
Ni7 Ni 0.500 0.000 0.000 1
Ni8 Ni 0.500 0.282 0.782 1
Ni9 Ni 0.500 0.500 0.500 1
Ni10 Ni 0.500 0.718 0.218 1
Ni11 Ni 0.647 0.000 0.647 1
Ni12 Ni 0.718 0.500 0.218 1
# - symmetry = No. 139
# - total energy (eV per atom) = -6.36



Entry 6:
# Mg2In5Ga | Alexandria via LeMat-Bulk | PBE-GGA | relaxed
data_Mg2In5Ga
_chemical_formula_sum 'Mg4 In10 Ga2'
_space_group_name_H-M_alt 'P 1'
_space_group_IT_number 1
_space_group_name_Hall 'P 1'
_cell_length_a 5.801
_cell_length_b 5.801
_cell_length_c 16.674
_cell_angle_alpha 90.00
_cell_angle_beta 90.00
_cell_angle_gamma 135.38
loop_
_atom_site_label
_atom_site_type_symbol
_atom_site_fract_x
_atom_site_fract_y
_atom_site_fract_z
_atom_site_occupancy
Mg1 Mg 0.247 0.753 0.653 1
Mg2 Mg 0.247 0.753 0.847 1
Mg3 Mg 0.753 0.247 0.153 1
Mg4 Mg 0.753 0.247 0.347 1
In1 In 0.038 0.962 0.100 1
In2 In 0.038 0.962 0.400 1
In3 In 0.350 0.650 0.031 1
In4 In 0.350 0.650 0.469 1
In5 In 0.453 0.547 0.250 1
In6 In 0.547 0.453 0.750 1
In7 In 0.650 0.350 0.531 1
In8 In 0.650 0.350 0.969 1
In9 In 0.962 0.038 0.600 1
In10 In 0.962 0.038 0.900 1
Ga1 Ga 0.169 0.831 0.250 1
Ga2 Ga 0.831 0.169 0.750 1
# - energy above the lowest structure with this stoichiometry (eV per atom) = 0.000
# - symmetry = No. 63



Entry 7:
# Pm2YGa3Rh4 | Alexandria via LeMat-Bulk | PBE-GGA | relaxed
data_Pm2YGa3Rh4
_chemical_formula_sum 'Pm2 Y1 Ga3 Rh4'
_space_group_name_H-M_alt 'P 1'
_space_group_IT_number 1
_space_group_name_Hall 'P 1'
_cell_length_a 4.275
_cell_length_b 4.275
_cell_length_c 10.951
_cell_angle_alpha 90.00
_cell_angle_beta 90.00
_cell_angle_gamma 90.00
loop_
_atom_site_label
_atom_site_type_symbol
_atom_site_fract_x
_atom_site_fract_y
_atom_site_fract_z
_atom_site_occupancy
Pm1 Pm 0.000 0.500 0.220 1
Pm2 Pm 0.500 0.000 0.780 1
Y1 Y 0.000 0.000 0.500 1
Ga1 Ga 0.000 0.500 0.883 1
Ga2 Ga 0.500 0.000 0.117 1
Ga3 Ga 0.500 0.500 0.500 1
Rh1 Rh 0.000 0.000 0.000 1
Rh2 Rh 0.000 0.500 0.655 1
Rh3 Rh 0.500 0.000 0.345 1
Rh4 Rh 0.500 0.500 0.000 1
# - symmetry = No. 115
# - total energy (eV per atom) = -6.22



Entry 8:
# HfPd5Pb | Alexandria via LeMat-Bulk | PBE-GGA | relaxed
data_HfPd5Pb
_chemical_formula_sum 'Hf1 Pd5 Pb1'
_space_group_name_H-M_alt 'P 1'
_space_group_IT_number 1
_space_group_name_Hall 'P 1'
_cell_length_a 4.756
_cell_length_b 4.756
_cell_length_c 5.788
_cell_angle_alpha 90.00
_cell_angle_beta 90.00
_cell_angle_gamma 90.00
loop_
_atom_site_label
_atom_site_type_symbol
_atom_site_fract_x
_atom_site_fract_y
_atom_site_fract_z
_atom_site_occupancy
Hf1 Hf 0.000 0.000 0.000 1
Pd1 Pd 0.000 0.000 0.500 1
Pd2 Pd 0.000 0.500 0.240 1
Pd3 Pd 0.000 0.500 0.760 1
Pd4 Pd 0.500 0.000 0.240 1
Pd5 Pd 0.500 0.000 0.760 1
Pb1 Pb 0.500 0.500 0.500 1
# - symmetry = No. 123
# - total energy (eV per atom) = -5.99



Entry 9:
# MnH3Ru | Alexandria via LeMat-Bulk | PBE-GGA | relaxed
data_MnH3Ru
_chemical_formula_sum 'Mn1 H3 Ru1'
_space_group_name_H-M_alt 'P 1'
_space_group_IT_number 1
_space_group_name_Hall 'P 1'
_cell_length_a 3.452
_cell_length_b 3.452
_cell_length_c 3.452
_cell_angle_alpha 90.00
_cell_angle_beta 90.00
_cell_angle_gamma 90.00
loop_
_atom_site_label
_atom_site_type_symbol
_atom_site_fract_x
_atom_site_fract_y
_atom_site_fract_z
_atom_site_occupancy
Mn1 Mn 0.000 0.000 0.000 1
H1 H 0.000 0.500 0.500 1
H2 H 0.500 0.000 0.500 1
H3 H 0.500 0.500 0.000 1
Ru1 Ru 0.500 0.500 0.500 1
# - symmetry = No. 221
# - total energy (eV per atom) = -5.57



Entry 10:
# Ba2LiP2N6 | Alexandria via LeMat-Bulk | PBE-GGA | relaxed
data_Ba2LiP2N6
_chemical_formula_sum 'Ba2 Li1 P2 N6'
_space_group_name_H-M_alt 'P 1'
_space_group_IT_number 1
_space_group_name_Hall 'P 1'
_cell_length_a 6.619
_cell_length_b 6.619
_cell_length_c 6.619
_cell_angle_alpha 53.33
_cell_angle_beta 53.33
_cell_angle_gamma 53.33
loop_
_atom_site_label
_atom_site_type_symbol
_atom_site_fract_x
_atom_site_fract_y
_atom_site_fract_z
_atom_site_occupancy
Ba1 Ba 0.218 0.218 0.218 1
Ba2 Ba 0.782 0.782 0.782 1
Li1 Li 0.000 0.000 0.000 1
P1 P 0.415 0.415 0.415 1
P2 P 0.585 0.585 0.585 1
N1 N 0.260 0.260 0.720 1
N2 N 0.260 0.720 0.260 1
N3 N 0.280 0.740 0.740 1
N4 N 0.720 0.260 0.260 1
N5 N 0.740 0.280 0.740 1
N6 N 0.740 0.740 0.280 1
# - ΔE_f (raw) (eV/atom) = -0.2482
# - symmetry = No. 166



Entry 11:
# Cr2HgIr | Alexandria via LeMat-Bulk | PBE-GGA | relaxed
data_Cr2HgIr
_chemical_formula_sum 'Cr2 Hg1 Ir1'
_space_group_name_H-M_alt 'P 1'
_space_group_IT_number 1
_space_group_name_Hall 'P 1'
_cell_length_a 4.767
_cell_length_b 4.767
_cell_length_c 4.840
_cell_angle_alpha 100.37
_cell_angle_beta 100.37
_cell_angle_gamma 35.07
loop_
_atom_site_label
_atom_site_type_symbol
_atom_site_fract_x
_atom_site_fract_y
_atom_site_fract_z
_atom_site_occupancy
Cr1 Cr 0.242 0.242 0.169 1
Cr2 Cr 0.758 0.758 0.831 1
Hg1 Hg 0.000 0.000 0.500 1
Ir1 Ir 0.500 0.500 0.000 1
# - symmetry = No. 12
# - total energy (eV per atom) = -6.68



Entry 12:
# Ba12InAg6 | Alexandria via LeMat-Bulk | PBE-GGA | relaxed
data_Ba12InAg6
_chemical_formula_sum 'Ba12 In1 Ag6'
_space_group_name_H-M_alt 'P 1'
_space_group_IT_number 1
_space_group_name_Hall 'P 1'
_cell_length_a 10.052
_cell_length_b 10.052
_cell_length_c 10.052
_cell_angle_alpha 102.22
_cell_angle_beta 102.22
_cell_angle_gamma 102.22
loop_
_atom_site_label
_atom_site_type_symbol
_atom_site_fract_x
_atom_site_fract_y
_atom_site_fract_z
_atom_site_occupancy
Ba1 Ba 0.069 0.928 0.676 1
Ba2 Ba 0.072 0.324 0.931 1
Ba3 Ba 0.173 0.561 0.412 1
Ba4 Ba 0.324 0.931 0.072 1
Ba5 Ba 0.412 0.173 0.561 1
Ba6 Ba 0.439 0.588 0.827 1
Ba7 Ba 0.561 0.412 0.173 1
Ba8 Ba 0.588 0.827 0.439 1
Ba9 Ba 0.676 0.069 0.928 1
Ba10 Ba 0.827 0.439 0.588 1
Ba11 Ba 0.928 0.676 0.069 1
Ba12 Ba 0.931 0.072 0.324 1
In1 In 0.000 0.000 0.000 1
Ag1 Ag 0.140 0.316 0.617 1
Ag2 Ag 0.316 0.617 0.140 1
Ag3 Ag 0.383 0.860 0.684 1
Ag4 Ag 0.617 0.140 0.316 1
Ag5 Ag 0.684 0.383 0.860 1
Ag6 Ag 0.860 0.684 0.383 1
# - energy above the lowest structure with this stoichiometry (eV per atom) = 0.075
# - symmetry = No. 148



| no. | DOS at the Fermi energy (states/eV/cell) |
| --- | --- |
| 1 | 6.21 |
| 2 | 8.16 |
| 3 | 2.44 |
| 4 | 0.00 |
| 5 | 26.58 |
| 6 | 6.36 |
| 7 | 6.48 |
| 8 | 3.25 |
| 9 | 0.86 |
| 10 | 7.02 |
| 11 | 3.18 |
| 12 | 17.06 |